## NbNiGe2O8 (PBE+U)

Data for a geometry-optimized NbNiGe2O8 structure.

a = 5.6213 Å, b = 5.6213 Å, c = 5.6213 Å
α = 109.00°, β = 109.00°, γ = 110.43°
Site moments in Bohr magnetons follow the coordinates.
Fractional coordinates of all 12 atoms:
Nb (0.0000, 0.0000, 0.0000)  0.04
Ni (0.2500, 0.7500, 0.5000)  1.74
Ge (0.7500, 0.2500, 0.5000)  0.00
Ge (0.5000, 0.5000, 0.0000)  0.03
O (0.3686, 0.0693, 0.2993)  -0.04
O (0.2981, 0.4864, 0.1883)  -0.14
O (0.2981, 0.1098, 0.8117)  -0.14
O (0.7699, 0.0693, 0.7007)  -0.04
O (0.8902, 0.7019, 0.1883)  -0.14
O (0.9307, 0.2301, 0.2993)  -0.04
O (0.9307, 0.6314, 0.7007)  -0.04
O (0.5136, 0.7019, 0.8117)  -0.14

Calculated values
SG: I-4m2, No. 119
Electronic total energy (eV for the cell shown): -79.9